Entry 1:
Compound: Li2PPt
Source: Alexandria
Functional: PBE
Structure: relaxed

Geometry as POSCAR:
```
Li2PPt
1.0
0.000 3.851 4.160
3.308 0.000 4.160
3.308 3.851 0.000
Li P Pt
4 2 2
direct
0.227 0.227 0.773
0.250 0.250 0.250
0.750 0.750 0.750
0.773 0.773 0.227
0.213 0.787 0.213
0.787 0.213 0.787
0.292 0.708 0.708
0.708 0.292 0.292
```

final energy = -4.412 eV/atom
SG = Fmmm

***

Entry 2:
Compound: Cs2Ga4Sn3Pb
Source: Alexandria
Functional: PBE
Structure: relaxed

Geometry as POSCAR:
```
Cs2Ga4Sn3Pb
1.0
5.126 0.000 0.000
0.000 5.126 0.000
0.000 0.000 11.441
Cs Ga Sn Pb
2 4 3 1
direct
0.000 0.500 0.242
0.500 0.000 0.758
0.000 0.000 0.000
0.000 0.500 0.631
0.500 0.000 0.369
0.500 0.500 0.000
0.000 0.500 0.878
0.500 0.000 0.122
0.500 0.500 0.500
0.000 0.000 0.500
```

final energy = -3.085 eV/atom
SG = P-4m2

***

Entry 3:
Compound: Li3TbPa2N6
Source: Alexandria
Functional: PBE
Structure: relaxed

Geometry as POSCAR:
```
Li3TbPa2N6
1.0
3.035 -5.256 0.000
3.035 5.256 0.000
-2.037 0.000 5.006
Li Tb Pa N
3 1 2 6
direct
0.000 0.000 0.000
0.328 0.672 0.000
0.672 0.328 0.000
0.500 0.500 0.500
0.166 0.834 0.500
0.834 0.166 0.500
0.075 0.425 0.277
0.226 0.226 0.725
0.425 0.075 0.277
0.575 0.925 0.723
0.774 0.774 0.275
0.925 0.575 0.723
```

final energy = -7.629 eV/atom
formation energy (no corrections) = -1.020 eV per atom
SG = C2/m

***

Entry 4:
Compound: LiPbSe2
Source: Alexandria
Functional: PBE
Structure: relaxed

Geometry as POSCAR:
```
LiPbSe2
1.0
2.067 1.194 6.707
-2.067 1.194 6.707
0.000 -2.387 6.707
Li Pb Se
1 1 2
direct
0.000 0.000 0.000
0.828 0.828 0.828
0.255 0.255 0.255
0.399 0.399 0.399
```

final energy = -3.760 eV/atom
formation energy (no corrections) = -0.612 eV per atom
SG = R3m

***

| no. | D(E_F) (states/eV/atom) | spin magnetization (μB/atom) |
| --- | --- | --- |
| 1 | 0.3412 | 0.000 |
| 2 | 0.3809 | 0.000 |
| 3 | 0.7119 | 0.000 |
| 4 | 0.4792 | 0.000 |